Material: LaHfCd3
Method: DFT, PBE-GGA
State: optimized geometry

Values from the calculation:
* calculated volume: 37.05 Å³/atom
* formation energy from the elements: 1400 meV per atom
* DOS at the Fermi energy: 7.5 states/eV/cell
* distance to the lowest polymorph of the same formula: 4.70 eV per formula unit

Unit cell a=5.7008 b=5.7008 c=5.7008 alpha=90.00 beta=90.00 gamma=90.00
With the nearest neighbours (Å) after each atom.
Fractional positions:
La  0.0000  0.0000  0.0000  6 Cd 2.85
Hf  0.5000  0.5000  0.5000  12 Cd 4.03
Cd  0.0000  0.0000  0.5000  2 La 2.85
Cd  0.0000  0.5000  0.0000  2 La 2.85
Cd  0.5000  0.0000  0.0000  2 La 2.85

***

Material: CdRe2Ag
Method: DFT, PBE-GGA
State: optimized geometry

Values from the calculation:
* calculated volume: 16.49 Å³/atom
* formation energy from the elements: 728 meV per atom
* DOS at the Fermi energy: 3.0 states/eV/cell

Unit cell a=4.7632 b=4.7632 c=4.7632 alpha=127.52 beta=127.52 gamma=77.41
With the nearest neighbours (Å) after each atom.
Fractional positions:
Cd  0.0000  0.0000  0.0000  8 Re 2.81-2.98, 4 Ag 2.81
Re  0.2500  0.7500  0.5000  4 Re 2.81, 4 Cd 2.81, 4 Ag 2.98
Re  0.5000  0.5000  0.0000  4 Re 2.81, 4 Ag 2.81, 4 Cd 2.98
Ag  0.7500  0.2500  0.5000  8 Re 2.81-2.98, 4 Cd 2.81

***

Material: Tm2Mg3Ni2
Method: DFT, PBE-GGA
State: optimized geometry

Values from the calculation:
* calculated volume: 21.11 Å³/atom
* formation energy from the elements: -311 meV per atom
* DOS at the Fermi energy: 3.3 states/eV/cell
* distance to the lowest polymorph of the same formula: 0.00 eV per formula unit

Unit cell a=10.7009 b=10.7009 c=3.5449 alpha=90.00 beta=90.00 gamma=158.65
With the nearest neighbours (Å) after each atom.
Fractional positions:
Tm  0.1785  0.8215  0.0000  6 Ni 2.76-2.88
Tm  0.8215  0.1785  0.0000  6 Ni 2.76-2.88
Mg  0.0000  0.0000  0.0000  10 Mg 3.17-3.54
Mg  0.4182  0.5818  0.5000  1 Ni 2.77
Mg  0.5818  0.4182  0.5000  1 Ni 2.77
Ni  0.2864  0.7136  0.5000  2 Ni 2.50, 4 Tm 2.76, 1 Mg 2.77
Ni  0.7136  0.2864  0.5000  2 Ni 2.50, 4 Tm 2.76, 1 Mg 2.77

***

Material: LiHoAl2
Method: DFT, PBE-GGA
State: optimized geometry

Values from the calculation:
* calculated volume: 20.19 Å³/atom
* formation energy from the elements: -251 meV per atom
* DOS at the Fermi energy: 1.3 states/eV/cell
* distance to the lowest polymorph of the same formula: 0.05 eV per formula unit

Unit cell a=4.4039 b=4.4039 c=4.1633 alpha=90.00 beta=90.00 gamma=90.00
With the nearest neighbours (Å) after each atom.
Fractional positions:
Li  0.0000  0.0000  0.0000  8 Al 3.03, 4 Ho 3.11
Ho  0.5000  0.5000  0.0000  8 Al 3.03, 4 Li 3.11
Al  0.0000  0.5000  0.5000  4 Li 3.03, 4 Ho 3.03, 4 Al 3.11
Al  0.5000  0.0000  0.5000  4 Li 3.03, 4 Ho 3.03, 4 Al 3.11